DFT (PBE-GGA) results for an optimized crystal structure of NbHgMo2.

Computed properties:
mass density = 10.5 Mg/m³
VASP energy = -28.19 eV per formula unit
calculated formation energy = 960 meV per atom
total moment = 0.00 μB/f.u.

Cell: 7.400 7.400 5.586 Å, 90.00 90.00 90.00°
Space group I-42d (No. 122)
One atom of each set of equivalent atoms:
Nb 0.000 0.000 0.000 [4 per cell]
Hg 0.000 0.000 0.500 [4 per cell]
Mo 0.226 0.250 0.125 [8 per cell]